An optimized crystal structure of Li7Mn2Co3O12. Source: Alexandria, functional PBE+U.

* relative energy among the computed polymorphs: 46 meV per atom

abc: 2.920 8.198 9.752
angles: 65.84 88.13 89.96
Sites, in units of the cell vectors:
Li  0.000  0.000  0.000
Li  0.004  0.501  0.003
Li  0.046  0.653  0.698
Li  0.470  0.500  0.501
Li  0.487  0.187  0.170
Li  0.517  0.818  0.855
Li  0.962  0.344  0.332
Mn  0.506  0.005  0.516
Mn  0.974  0.835  0.339
Co  0.031  0.168  0.683
Co  0.489  0.649  0.164
Co  0.513  0.336  0.846
O  0.003  0.752  0.016
O  0.012  0.257  0.985
O  0.027  0.393  0.699
O  0.050  0.932  0.674
O  0.460  0.768  0.489
O  0.482  0.423  0.183
O  0.488  0.909  0.196
O  0.516  0.109  0.826
O  0.528  0.559  0.839
O  0.547  0.238  0.535
O  0.960  0.070  0.351
O  0.978  0.606  0.338